[1]
Entry from the Alexandria database: an optimized crystal structure of Sr2Tl3HgO8 (PBE-GGA).

Values from the calculation:
Total DFT energy (no corrections) = -66.47 eV/cell
Fermi-level density of states = 10.67 states/eV/cell

a b c (Å): 7.2401 7.2401 7.2401
angles (deg): 57.09 57.09 57.09
Last column: nearest neighbours and their distance in Å.
Sites, in units of the cell vectors:
Sr  0.0000  0.0000  0.0000  4 O 2.39-2.51
Sr  0.3686  0.3686  0.3686  6 O 2.51-2.52
Tl  0.3728  0.3728  0.8757  6 O 2.28-2.36
Tl  0.3728  0.8757  0.3728  6 O 2.28-2.36
Tl  0.8757  0.3728  0.3728  6 O 2.28-2.36
Hg  0.7924  0.7924  0.7924  3 O 2.18
O  0.1205  0.1205  0.5836  2 Tl 2.28, 2 Sr 2.39-2.51
O  0.1205  0.5836  0.1205  2 Tl 2.28, 2 Sr 2.39-2.51
O  0.1384  0.1384  0.1384  3 Tl 2.34, 1 Sr 2.51
O  0.1609  0.6170  0.6170  1 Hg 2.18, 2 Tl 2.36
O  0.5836  0.1205  0.1205  2 Tl 2.28, 2 Sr 2.39-2.51
O  0.6008  0.6008  0.6008  3 Tl 2.29
O  0.6170  0.1609  0.6170  1 Hg 2.18, 2 Tl 2.36
O  0.6170  0.6170  0.1609  1 Hg 2.18, 2 Tl 2.36



[2]
Entry from the Alexandria database: an optimized crystal structure of Sr2UHgO6 (PBE-GGA).

Values from the calculation:
Total DFT energy (no corrections) = -70.07 eV/cell

a b c (Å): 6.2257 6.2257 6.0116
angles (deg): 118.83 118.83 57.57
Last column: nearest neighbours and their distance in Å.
Sites, in units of the cell vectors:
Sr  0.2492  0.2492  0.2813  5 O 2.48-2.58
Sr  0.7508  0.7508  0.7187  5 O 2.48-2.58
U  0.0000  0.0000  0.5000  6 O 2.02-2.13
Hg  0.5000  0.5000  0.0000  4 O 2.31
O  0.1701  0.6853  0.6628  1 U 2.13, 1 Hg 2.31
O  0.2063  0.2063  0.8304  1 U 2.02
O  0.3147  0.8299  0.3372  1 U 2.13, 1 Hg 2.31
O  0.6853  0.1701  0.6628  1 U 2.13, 1 Hg 2.31
O  0.7937  0.7937  0.1696  1 U 2.02
O  0.8299  0.3147  0.3372  1 U 2.13, 1 Hg 2.31



Computed values of ΔE_f (raw) (unit: kJ/mol of formula units) for the preceding records, in sequence: -1547; -2447.